1.
Computed, not measured: a geometry-optimized PrEuCuSb structure at the PBE level of DFT.

Unit cell a=7.5800 b=7.5800 c=7.5800 alpha=90.00 beta=90.00 gamma=90.00
Closest atoms and distances in Å follow each position.
Positions (direct):
Pr 0.0000 0.0000 0.0000  4 Sb 3.28, 4 Cu 3.28
Pr 0.0000 0.5000 0.5000  4 Sb 3.28, 4 Cu 3.28
Pr 0.5000 0.0000 0.5000  4 Sb 3.28, 4 Cu 3.28
Pr 0.5000 0.5000 0.0000  4 Sb 3.28, 4 Cu 3.28
Eu 0.0000 0.0000 0.5000  4 Cu 3.28, 4 Sb 3.28
Eu 0.0000 0.5000 0.0000  4 Cu 3.28, 4 Sb 3.28
Eu 0.5000 0.0000 0.0000  4 Cu 3.28, 4 Sb 3.28
Eu 0.5000 0.5000 0.5000  4 Cu 3.28, 4 Sb 3.28
Cu 0.2500 0.2500 0.2500  4 Pr 3.28, 4 Eu 3.28
Cu 0.2500 0.7500 0.7500  4 Pr 3.28, 4 Eu 3.28
Cu 0.7500 0.2500 0.7500  4 Pr 3.28, 4 Eu 3.28
Cu 0.7500 0.7500 0.2500  4 Pr 3.28, 4 Eu 3.28
Sb 0.2500 0.2500 0.7500  4 Eu 3.28, 4 Pr 3.28
Sb 0.2500 0.7500 0.2500  4 Eu 3.28, 4 Pr 3.28
Sb 0.7500 0.2500 0.2500  4 Eu 3.28, 4 Pr 3.28
Sb 0.7500 0.7500 0.7500  4 Eu 3.28, 4 Pr 3.28

Uncorrected formation energy   -0.52 eV per atom
DFT total energy   -101.42 eV/cell
Fermi-level density of states   11.028 states/eV/cell



2.
Computed, not measured: a geometry-optimized EuCuPt4 structure at the PBE level of DFT.

Unit cell a=5.3673 b=5.3673 c=5.3673 alpha=60.00 beta=60.00 gamma=60.00
Closest atoms and distances in Å follow each position.
Positions (direct):
Eu 0.0000 0.0000 0.0000  12 Pt 3.15, 4 Cu 3.29
Cu 0.7500 0.7500 0.7500  12 Pt 3.15, 4 Eu 3.29
Pt 0.3755 0.3755 0.3755  6 Pt 2.67-2.69
Pt 0.3755 0.3755 0.8736  6 Pt 2.67-2.69
Pt 0.3755 0.8736 0.3755  6 Pt 2.67-2.69
Pt 0.8736 0.3755 0.3755  6 Pt 2.67-2.69

E_form   -0.46 eV per atom
DFT total energy   -41.30 eV/cell
Fermi-level density of states   15.906 states/eV/cell



3.
Computed, not measured: a geometry-optimized EuPuCuPt structure at the PBE level of DFT.

Unit cell a=7.0952 b=7.0952 c=7.0952 alpha=90.00 beta=90.00 gamma=90.00
Closest atoms and distances in Å follow each position.
Positions (direct):
Eu 0.0000 0.0000 0.0000  4 Cu 3.07, 4 Pt 3.07
Eu 0.0000 0.5000 0.5000  4 Cu 3.07, 4 Pt 3.07
Eu 0.5000 0.0000 0.5000  4 Cu 3.07, 4 Pt 3.07
Eu 0.5000 0.5000 0.0000  4 Cu 3.07, 4 Pt 3.07
Pu 0.0000 0.0000 0.5000  4 Cu 3.07, 4 Pt 3.07
Pu 0.0000 0.5000 0.0000  4 Cu 3.07, 4 Pt 3.07
Pu 0.5000 0.0000 0.0000  4 Cu 3.07, 4 Pt 3.07
Pu 0.5000 0.5000 0.5000  4 Cu 3.07, 4 Pt 3.07
Cu 0.2500 0.2500 0.2500  4 Pu 3.07, 4 Eu 3.07
Cu 0.2500 0.7500 0.7500  4 Pu 3.07, 4 Eu 3.07
Cu 0.7500 0.2500 0.7500  4 Pu 3.07, 4 Eu 3.07
Cu 0.7500 0.7500 0.2500  4 Pu 3.07, 4 Eu 3.07
Pt 0.2500 0.2500 0.7500  4 Pu 3.07, 4 Eu 3.07
Pt 0.2500 0.7500 0.2500  4 Pu 3.07, 4 Eu 3.07
Pt 0.7500 0.2500 0.2500  4 Pu 3.07, 4 Eu 3.07
Pt 0.7500 0.7500 0.7500  4 Pu 3.07, 4 Eu 3.07

E_form   -0.38 eV per atom
DFT total energy   -145.01 eV/cell
Fermi-level density of states   76.533 states/eV/cell



4.
Computed, not measured: a geometry-optimized EuScCuPt structure at the PBE level of DFT.

Unit cell a=6.8859 b=6.8859 c=6.8859 alpha=90.00 beta=90.00 gamma=90.00
Closest atoms and distances in Å follow each position.
Positions (direct):
Eu 0.0000 0.0000 0.0000  4 Cu 2.98, 4 Pt 2.98
Eu 0.0000 0.5000 0.5000  4 Cu 2.98, 4 Pt 2.98
Eu 0.5000 0.0000 0.5000  4 Cu 2.98, 4 Pt 2.98
Eu 0.5000 0.5000 0.0000  4 Cu 2.98, 4 Pt 2.98
Sc 0.0000 0.0000 0.5000  4 Cu 2.98, 4 Pt 2.98
Sc 0.0000 0.5000 0.0000  4 Cu 2.98, 4 Pt 2.98
Sc 0.5000 0.0000 0.0000  4 Cu 2.98, 4 Pt 2.98
Sc 0.5000 0.5000 0.5000  4 Cu 2.98, 4 Pt 2.98
Cu 0.2500 0.2500 0.2500  4 Sc 2.98, 4 Eu 2.98
Cu 0.2500 0.7500 0.7500  4 Sc 2.98, 4 Eu 2.98
Cu 0.7500 0.2500 0.7500  4 Sc 2.98, 4 Eu 2.98
Cu 0.7500 0.7500 0.2500  4 Sc 2.98, 4 Eu 2.98
Pt 0.2500 0.2500 0.7500  4 Sc 2.98, 4 Eu 2.98
Pt 0.2500 0.7500 0.2500  4 Sc 2.98, 4 Eu 2.98
Pt 0.7500 0.2500 0.2500  4 Sc 2.98, 4 Eu 2.98
Pt 0.7500 0.7500 0.7500  4 Sc 2.98, 4 Eu 2.98

E_form   -0.54 eV per atom
DFT total energy   -115.54 eV/cell
Fermi-level density of states   27.471 states/eV/cell